Mg2Cr2O5 | PBE+U | optimized geometry

Cell: 5.288 10.210 3.780 Å, 90.00 90.00 90.00°
Space group Pbam (No. 55)
Symmetry-distinct sites (fractional):
Mg1 0.225 0.101 0.000 [4 per cell]
Cr1 0.237 0.864 0.500 [4 per cell]
O1 0.000 0.500 0.500 [2 per cell]
O2 0.136 0.187 0.500 [4 per cell]
O3 0.182 0.900 0.000 [4 per cell]

Volume: 11.34 A^3/atom
Total magnetic moment: 6.00 μB per formula unit
DOS(E_F): 0.006 states/eV per atom
Final energy: -121.28 eV for the cell shown